Computed, not measured: a relaxed La3In crystal at the PBE-GGA level of DFT.

abc: 7.300 7.300 5.667
angles: 90.00 90.00 120.01
Sites, in units of the cell vectors:
La (0.178, 0.357, 0.750)
La (0.179, 0.821, 0.750)
La (0.357, 0.178, 0.250)
La (0.643, 0.822, 0.750)
La (0.821, 0.179, 0.250)
La (0.822, 0.643, 0.250)
In (0.334, 0.666, 0.250)
In (0.666, 0.334, 0.750)

ΔH_f (0 K)	-28	kJ per mole of atoms
space-group type	Cmcm, No. 63
distance to the lowest polymorph of the same formula	0.009	eV per atom



Computed, not measured: a relaxed TlFeRu2 crystal at the PBE-GGA level of DFT.

abc: 3.037 3.037 6.768
angles: 90.00 90.00 90.00
Sites, in units of the cell vectors:
Tl (0.000, 0.000, 0.000)
Fe (0.000, 0.000, 0.500)
Ru (0.500, 0.500, 0.295)
Ru (0.500, 0.500, 0.705)

ΔH_f (0 K)	39	kJ per mole of atoms
space-group type	P4/mmm, No. 123
distance to the lowest polymorph of the same formula	0.000	eV per atom



Computed, not measured: a relaxed CsTlPd crystal at the PBE-GGA level of DFT.

abc: 7.118 7.118 7.118
angles: 148.15 148.15 45.67
Sites, in units of the cell vectors:
Cs (0.000, 0.000, 0.000)
Tl (0.276, 0.276, 0.000)
Pd (0.733, 0.733, 0.000)

ΔH_f (0 K)	-5	kJ per mole of atoms
space-group type	I4mm, No. 107
distance to the lowest polymorph of the same formula	0.031	eV per atom



Computed, not measured: a relaxed LaPdPb3 crystal at the PBE-GGA level of DFT.

abc: 5.381 5.381 5.381
angles: 90.00 90.00 90.00
Sites, in units of the cell vectors:
La (0.000, 0.000, 0.000)
Pd (0.500, 0.500, 0.500)
Pb (0.000, 0.500, 0.500)
Pb (0.500, 0.000, 0.500)
Pb (0.500, 0.500, 0.000)

ΔH_f (0 K)	-11	kJ per mole of atoms
space-group type	Pm-3m, No. 221
distance to the lowest polymorph of the same formula	0.000	eV per atom



Computed, not measured: a relaxed SrCa2Mg crystal at the PBE-GGA level of DFT.

abc: 6.082 6.082 6.082
angles: 121.73 121.73 87.02
Sites, in units of the cell vectors:
Sr (0.000, 0.000, 0.000)
Ca (0.250, 0.750, 0.500)
Ca (0.500, 0.500, 0.000)
Mg (0.750, 0.250, 0.500)

ΔH_f (0 K)	2	kJ per mole of atoms
space-group type	I-4m2, No. 119



Computed, not measured: a relaxed CaHfIn crystal at the PBE-GGA level of DFT.

abc: 13.958 13.958 13.958
angles: 165.75 165.75 20.20
Sites, in units of the cell vectors:
Ca (0.067, 0.067, 0.000)
Ca (0.933, 0.933, 0.000)
Hf (0.216, 0.216, 0.000)
Hf (0.784, 0.784, 0.000)
In (0.354, 0.354, 0.000)
In (0.646, 0.646, 0.000)

ΔH_f (0 K)	-15	kJ per mole of atoms
space-group type	I4/mmm, No. 139



Computed, not measured: a relaxed KNa2AuS2 crystal at the PBE-GGA level of DFT.

abc: 6.882 10.807 4.656
angles: 90.00 90.00 90.00
Sites, in units of the cell vectors:
K (0.000, 0.000, 0.000)
K (0.500, 0.500, 0.500)
Na (0.068, 0.291, 0.500)
Na (0.432, 0.791, 0.000)
Na (0.568, 0.209, 0.000)
Na (0.932, 0.709, 0.500)
Au (0.000, 0.500, 0.000)
Au (0.500, 0.000, 0.500)
S (0.249, 0.355, 0.000)
S (0.251, 0.855, 0.500)
S (0.749, 0.145, 0.500)
S (0.751, 0.645, 0.000)

uncorrected formation energy	-898	meV per atom
space-group type	Pnnm, No. 58



Computed, not measured: a relaxed HoTh2Mg crystal at the PBE-GGA level of DFT.

abc: 3.581 3.581 9.386
angles: 90.00 90.00 90.00
Sites, in units of the cell vectors:
Ho (0.000, 0.000, 0.000)
Th (0.000, 0.000, 0.476)
Th (0.500, 0.500, 0.741)
Mg (0.500, 0.500, 0.230)

ΔH_f (0 K)	1	kJ per mole of atoms
space-group type	P4mm, No. 99
distance to the lowest polymorph of the same formula	0.000	eV per atom



Computed, not measured: a relaxed PuTl2Cl2O2 crystal at the PBE-GGA level of DFT.

abc: 9.239 9.239 9.239
angles: 152.57 152.57 39.18
Sites, in units of the cell vectors:
Pu (0.000, 0.000, 0.000)
Tl (0.368, 0.368, 0.000)
Tl (0.632, 0.632, 0.000)
Cl (0.163, 0.163, 0.000)
Cl (0.837, 0.837, 0.000)
O (0.000, 0.500, 0.500)
O (0.500, 0.000, 0.500)

uncorrected formation energy	-1741	meV per atom
space-group type	I4/mmm, No. 139



Computed, not measured: a relaxed LaPmYTl crystal at the PBE-GGA level of DFT.

abc: 4.885 4.918 5.114
angles: 90.00 90.00 90.00
Sites, in units of the cell vectors:
La (0.000, 0.000, 0.000)
Pm (0.500, 0.500, 0.000)
Y (0.500, 0.000, 0.500)
Tl (0.000, 0.500, 0.500)

ΔH_f (0 K)	-20	kJ per mole of atoms
space-group type	Pmmm, No. 47
distance to the lowest polymorph of the same formula	0.000	eV per atom



Computed, not measured: a relaxed AgIrRu4 crystal at the PBE-GGA level of DFT.

abc: 5.086 5.086 5.086
angles: 60.00 60.00 60.00
Sites, in units of the cell vectors:
Ag (0.000, 0.000, 0.000)
Ir (0.750, 0.750, 0.750)
Ru (0.375, 0.375, 0.375)
Ru (0.375, 0.375, 0.874)
Ru (0.375, 0.874, 0.375)
Ru (0.874, 0.375, 0.375)

ΔH_f (0 K)	68	kJ per mole of atoms
space-group type	F-43m, No. 216



Computed, not measured: a relaxed SnH2Pd6 crystal at the PBE-GGA level of DFT.

abc: 5.636 5.636 7.982
angles: 127.31 127.31 42.48
Sites, in units of the cell vectors:
Sn (0.000, 0.000, 0.000)
H (0.172, 0.172, 0.675)
H (0.828, 0.828, 0.325)
Pd (0.026, 0.026, 0.349)
Pd (0.322, 0.322, 0.348)
Pd (0.337, 0.337, 0.993)
Pd (0.663, 0.663, 0.007)
Pd (0.678, 0.678, 0.652)
Pd (0.974, 0.974, 0.651)

VASP energy	-42.9	eV per cell
space-group type	C2/m, No. 12



Computed, not measured: a relaxed ZnSn2Mo2 crystal at the PBE-GGA level of DFT.

abc: 7.006 7.006 3.854
angles: 90.00 90.00 90.00
Sites, in units of the cell vectors:
Zn (0.000, 0.000, 0.000)
Zn (0.500, 0.500, 0.000)
Sn (0.156, 0.344, 0.500)
Sn (0.344, 0.844, 0.500)
Sn (0.656, 0.156, 0.500)
Sn (0.844, 0.656, 0.500)
Mo (0.145, 0.645, 0.000)
Mo (0.355, 0.145, 0.000)
Mo (0.645, 0.855, 0.000)
Mo (0.855, 0.355, 0.000)

ΔH_f (0 K)	22	kJ per mole of atoms
space-group type	P4/mbm, No. 127



Computed, not measured: a relaxed Sc2CrRuC crystal at the PBE-GGA level of DFT.

abc: 4.825 4.825 3.657
angles: 90.00 90.00 90.00
Sites, in units of the cell vectors:
Sc (0.000, 0.500, 0.000)
Sc (0.500, 0.000, 0.000)
Cr (0.000, 0.000, 0.000)
Ru (0.500, 0.500, 0.500)
C (0.000, 0.000, 0.500)

ΔH_f (0 K)	82	kJ per mole of atoms
space-group type	P4/mmm, No. 123



Computed, not measured: a relaxed Pr2GePt crystal at the PBE-GGA level of DFT.

abc: 6.024 4.424 8.308
angles: 90.00 110.55 90.00
Sites, in units of the cell vectors:
Pr (0.221, 0.250, 0.440)
Pr (0.225, 0.250, 0.916)
Pr (0.775, 0.750, 0.084)
Pr (0.779, 0.750, 0.560)
Ge (0.331, 0.750, 0.206)
Ge (0.669, 0.250, 0.794)
Pt (0.349, 0.750, 0.710)
Pt (0.651, 0.250, 0.290)

ΔH_f (0 K)	-92	kJ per mole of atoms
space-group type	P2_1/m, No. 11